Here is crystalline Ba2CaAgH at its relaxed geometry from Alexandria via LeMat-Bulk. Energies are from PBE-GGA.

The calculation puts the total energy at -2.56 eV/atom.

The structure belongs to space group P4/mmm (No. 123); the cell edges are 5.835, 5.835 and 4.750 Å and the angles 90.00°, 90.00° and 90.00°. The asymmetric unit holds Ba at (0.000, 0.500, 0.000), Ca at (0.000, 0.000, 0.500), Ag at (0.500, 0.500, 0.500) and H at (0.000, 0.000, 0.000).

---

Here is crystalline Ca2PdI at its relaxed geometry from Alexandria via LeMat-Bulk. Energies are from PBE-GGA.

The value obtained for the relative energy among the computed polymorphs is 0.0054 eV/atom. The calculation puts the total energy at -3.59 eV/atom. As for the formation energy without anion corrections: -3.60 eV/f.u.

The structure belongs to space group R3m (No. 160, hexagonal axes); the cell edges are 4.2616, 4.2616 and 23.5536 Å and the angles 90.00°, 90.00° and 120.00°. The asymmetric unit holds Ca at (0.0000, 0.0000, 0.0000), Ca at (0.0000, 0.0000, 0.2033), Pd at (0.0000, 0.0000, 0.6022) and I at (0.0000, 0.0000, 0.7690).

---

Here is crystalline ZnRuSe2 at its relaxed geometry from Alexandria via LeMat-Bulk. Energies are from PBE-GGA.

The calculation puts the total energy at -4.43 eV/atom. As for the formation energy without anion corrections: -0.20 eV/f.u.

The structure belongs to space group Immm (No. 71); the cell edges are 3.545, 4.073 and 11.556 Å and the angles 90.00°, 90.00° and 90.00°. The asymmetric unit holds Zn at (0.000, 0.000, 0.000), Ru at (0.000, 0.000, 0.500) and Se at (0.000, 0.500, 0.151).

---

Here is crystalline Al2HgO at its relaxed geometry from Alexandria via LeMat-Bulk. Energies are from PBE-GGA.

The value obtained for the relative energy among the computed polymorphs is 0.8640 eV/atom. The calculation puts the total energy at -3.05 eV/atom. As for the formation energy without anion corrections: 0.53 eV/f.u.

The structure belongs to space group Fm-3m (No. 225); the cell edges are 6.413, 6.413 and 6.413 Å and the angles 90.00°, 90.00° and 90.00°. The asymmetric unit holds Al at (0.250, 0.250, 0.250), Hg at (0.000, 0.000, 0.000) and O at (0.000, 0.000, 0.500).